VASP calculation (PBEsol) on a geometry-optimized ZnAu4Se structure.

abc: 5.4104 5.4104 5.4104
angles: 60.00 60.00 60.00
Sites, in units of the cell vectors:
Au1 0.3747 0.3747 0.3747
Au2 0.3747 0.8759 0.3747
Au3 0.8759 0.3747 0.3747
Au4 0.3747 0.3747 0.8759
Zn1 0.0000 0.0000 0.0000
Se1 0.7500 0.7500 0.7500

Values from the calculation:
Formation energy (no corrections) ... 0.217 eV per atom
Symmetry ... No. 216
V ... 18.66 Å³ per atom
Crystal system ... cubic